Compound: La2SiRu
Source: Alexandria
Functional: PBE
Structure: optimized geometry

Unit cell a=4.9521 b=4.9521 c=4.9521 alpha=60.00 beta=60.00 gamma=60.00
Last column: nearest neighbours and their distance in Å.
Sites, in units of the cell vectors:
La 0.0000 0.0000 0.0000  4 Si 3.03, 4 La 3.03
La 0.2500 0.2500 0.2500  4 La 3.03, 4 Ru 3.03
Ru 0.5000 0.5000 0.5000  4 La 3.03, 4 Si 3.03
Si 0.7500 0.7500 0.7500  4 Ru 3.03, 4 La 3.03

E_form (uncorrected): -0.2093 eV per atom
Space-group type: F-43m (216)
Calculated volume: 85.9 Å³/cell
Total moment: 0.0 μB/cell

=====

Compound: CePm2Y6Er3
Source: Alexandria
Functional: PBE
Structure: optimized geometry

Unit cell a=7.9790 b=7.9790 c=6.1745 alpha=97.34 beta=97.34 gamma=84.21
Last column: nearest neighbours and their distance in Å.
Sites, in units of the cell vectors:
Ce 0.0000 0.0000 0.0000  6 Y 3.54-3.55, 2 Pm 3.54, 4 Er 3.56
Pm 0.3309 0.6691 0.0000  1 Ce 3.54, 6 Y 3.55-3.60, 4 Er 3.56-3.58, 1 Pm 3.62
Pm 0.6691 0.3309 0.0000  1 Ce 3.54, 6 Y 3.55-3.60, 4 Er 3.56-3.58, 1 Pm 3.62
Y 0.9164 0.5855 0.7509  6 Y 3.54-3.58, 1 Ce 3.55, 2 Pm 3.55-3.57, 3 Er 3.56-3.60
Y 0.7521 0.7521 0.2479  1 Ce 3.54, 6 Y 3.54-3.58, 3 Er 3.55-3.60, 2 Pm 3.60
Y 0.0836 0.4145 0.2491  6 Y 3.54-3.58, 1 Ce 3.55, 2 Pm 3.55-3.57, 3 Er 3.56-3.60
Y 0.5855 0.9164 0.7509  6 Y 3.54-3.58, 1 Ce 3.55, 2 Pm 3.55-3.57, 3 Er 3.56-3.60
Y 0.2479 0.2479 0.7521  1 Ce 3.54, 6 Y 3.54-3.58, 3 Er 3.55-3.60, 2 Pm 3.60
Y 0.4145 0.0836 0.2491  6 Y 3.54-3.58, 1 Ce 3.55, 2 Pm 3.55-3.57, 3 Er 3.56-3.60
Er 0.1650 0.8350 0.5000  2 Er 3.53-3.58, 6 Y 3.55-3.60, 2 Ce 3.56, 2 Pm 3.56
Er 0.8350 0.1650 0.5000  2 Er 3.53-3.58, 6 Y 3.55-3.60, 2 Ce 3.56, 2 Pm 3.56
Er 0.5000 0.5000 0.5000  6 Y 3.57-3.60, 4 Pm 3.58, 2 Er 3.58

ΔE_f: 43 kJ/mol of formula units
Space-group type: C2/m (12)
Calculated volume: 385.2 Å³/cell
Total moment: 1.0 μB/cell